# Tm6Te3Ir2Pb

A relaxed structure of Tm6Te3Ir2Pb (GGA-PBE, Alexandria via LeMat-Bulk).

Output
- formation energy from raw total energies (eV/atom) = -0.9650
- total DFT energy (no corrections) (eV/atom) = -5.77

```
data_Tm6Te3Ir2Pb
_space_group_name_H-M_alt 'P 1'
_space_group_IT_number 1
_space_group_name_Hall 'P 1'
_cell_length_a 4.1278
_cell_length_b 8.7657
_cell_length_c 9.6701
_cell_angle_alpha 107.06
_cell_angle_beta 102.32
_cell_angle_gamma 90.00
loop_
_atom_site_label
_atom_site_type_symbol
_atom_site_fract_x
_atom_site_fract_y
_atom_site_fract_z
_atom_site_occupancy
Tm1 Tm 0.6725 0.1213 0.3449 1
Te1 Te 0.5000 0.5000 0.0000 1
Pb1 Pb 0.5000 0.0000 0.0000 1
Te2 Te 0.8392 0.1660 0.6784 1
Ir1 Ir 0.1662 0.3308 0.3323 1
Tm2 Tm 0.0137 0.2607 0.0275 1
Te3 Te 0.1608 0.8340 0.3216 1
Tm3 Tm 0.9863 0.7393 0.9725 1
Tm4 Tm 0.3275 0.8787 0.6551 1
Ir2 Ir 0.8338 0.6692 0.6677 1
Tm5 Tm 0.3187 0.4432 0.6375 1
Tm6 Tm 0.6813 0.5568 0.3625 1
```

# HfTlPdSe3

A relaxed structure of HfTlPdSe3 (GGA-PBE, Alexandria via LeMat-Bulk).

Output
- formation energy from raw total energies (eV/atom) = -0.8408
- total DFT energy (no corrections) (eV/atom) = -5.50

```
data_HfTlPdSe3
_space_group_name_H-M_alt 'P 1'
_space_group_IT_number 1
_space_group_name_Hall 'P 1'
_cell_length_a 3.8261
_cell_length_b 8.7830
_cell_length_c 9.7420
_cell_angle_alpha 111.17
_cell_angle_beta 90.00
_cell_angle_gamma 90.00
loop_
_atom_site_label
_atom_site_type_symbol
_atom_site_fract_x
_atom_site_fract_y
_atom_site_fract_z
_atom_site_occupancy
Se1 Se 0.2500 0.7493 0.4534 1
Se2 Se 0.7500 0.2507 0.5466 1
Hf1 Hf 0.7500 0.3107 0.8346 1
Tl1 Tl 0.7500 0.7812 0.7495 1
Se3 Se 0.7500 0.4581 0.1385 1
Se4 Se 0.7500 0.8858 0.1274 1
Tl2 Tl 0.2500 0.2188 0.2505 1
Hf2 Hf 0.2500 0.6893 0.1654 1
Pd1 Pd 0.7500 0.9011 0.3995 1
Se5 Se 0.2500 0.1142 0.8726 1
Se6 Se 0.2500 0.5419 0.8615 1
Pd2 Pd 0.2500 0.0989 0.6005 1
```

# Zr2MoHRu

A relaxed structure of Zr2MoHRu (GGA-PBE, Alexandria via LeMat-Bulk).

Output
- distance to the lowest polymorph of the same formula (meV per atom) = 17
- total DFT energy (no corrections) (eV/atom) = -8.38

```
data_Zr2MoHRu
_space_group_name_H-M_alt 'P 1'
_space_group_IT_number 1
_space_group_name_Hall 'P 1'
_cell_length_a 4.6687
_cell_length_b 4.6687
_cell_length_c 3.4654
_cell_angle_alpha 90.00
_cell_angle_beta 90.00
_cell_angle_gamma 90.00
loop_
_atom_site_label
_atom_site_type_symbol
_atom_site_fract_x
_atom_site_fract_y
_atom_site_fract_z
_atom_site_occupancy
Ru1 Ru 0.0000 0.0000 0.5000 1
H1 H 0.0000 0.0000 0.0000 1
Zr1 Zr 0.5000 0.0000 0.0000 1
Mo1 Mo 0.5000 0.5000 0.5000 1
Zr2 Zr 0.0000 0.5000 0.0000 1
```

# Ho2Nb3Si4

A relaxed structure of Ho2Nb3Si4 (GGA-PBE, Alexandria via LeMat-Bulk).

Output
- formation energy from raw total energies (eV/atom) = -0.8325
- total DFT energy (no corrections) (eV/atom) = -7.62

```
data_Ho2Nb3Si4
_space_group_name_H-M_alt 'P 1'
_space_group_IT_number 1
_space_group_name_Hall 'P 1'
_cell_length_a 6.8912
_cell_length_b 7.0428
_cell_length_c 7.0515
_cell_angle_alpha 90.00
_cell_angle_beta 90.00
_cell_angle_gamma 108.81
loop_
_atom_site_label
_atom_site_type_symbol
_atom_site_fract_x
_atom_site_fract_y
_atom_site_fract_z
_atom_site_occupancy
Ho1 Ho 0.5651 0.1883 0.3297 1
Si1 Si 0.8670 0.0827 0.5360 1
Si2 Si 0.1283 0.5068 0.8748 1
Si3 Si 0.8717 0.4932 0.1252 1
Si4 Si 0.1330 0.9173 0.4640 1
Nb1 Nb 0.2523 0.7446 0.1770 1
Si5 Si 0.3670 0.0827 0.9640 1
Si6 Si 0.3717 0.4932 0.3748 1
Ho2 Ho 0.9349 0.8117 0.8297 1
Nb2 Nb 0.5000 0.5000 0.0000 1
Ho3 Ho 0.0651 0.1883 0.1703 1
Si7 Si 0.6330 0.9173 0.0360 1
Nb3 Nb 0.7523 0.7446 0.3230 1
Nb4 Nb 0.7477 0.2554 0.8230 1
Nb5 Nb 0.0000 0.5000 0.5000 1
Nb6 Nb 0.2477 0.2554 0.6770 1
Si8 Si 0.6283 0.5068 0.6252 1
Ho4 Ho 0.4349 0.8117 0.6703 1
```

# Nd3AgBi2

A relaxed structure of Nd3AgBi2 (GGA-PBE, Alexandria via LeMat-Bulk).

Output
- energy of formation from the pure elements (eV/f.u.) = -3.5
- total DFT energy (no corrections) (eV/atom) = -4.74

```
data_Nd3AgBi2
_space_group_name_H-M_alt 'P 1'
_space_group_IT_number 1
_space_group_name_Hall 'P 1'
_cell_length_a 6.4430
_cell_length_b 9.1906
_cell_length_c 7.8354
_cell_angle_alpha 107.05
_cell_angle_beta 114.28
_cell_angle_gamma 90.00
loop_
_atom_site_label
_atom_site_type_symbol
_atom_site_fract_x
_atom_site_fract_y
_atom_site_fract_z
_atom_site_occupancy
Bi1 Bi 0.3321 0.9161 0.6644 1
Nd1 Nd 0.1680 0.5840 0.3362 1
Nd2 Nd 0.4989 0.7500 0.0000 1
Bi2 Bi 0.6679 0.0839 0.3356 1
Nd3 Nd 0.8320 0.4160 0.6638 1
Ag1 Ag 0.0013 0.2500 0.0000 1
Bi3 Bi 0.6677 0.5839 0.3356 1
Nd4 Nd 0.8318 0.9160 0.6638 1
Bi4 Bi 0.3323 0.4161 0.6644 1
Ag2 Ag 0.9987 0.7500 0.0000 1
Nd5 Nd 0.5011 0.2500 0.0000 1
Nd6 Nd 0.1682 0.0840 0.3362 1
```

# ZnGeF6

A relaxed structure of ZnGeF6 (GGA-PBE, Alexandria via LeMat-Bulk).

Output
- formation energy from raw total energies (eV/atom) = -2.3781
- total DFT energy (no corrections) (eV/atom) = -4.52

```
data_ZnGeF6
_space_group_name_H-M_alt 'P 1'
_space_group_IT_number 1
_space_group_name_Hall 'P 1'
_cell_length_a 4.9637
_cell_length_b 4.9637
_cell_length_c 9.1847
_cell_angle_alpha 90.00
_cell_angle_beta 90.00
_cell_angle_gamma 120.00
loop_
_atom_site_label
_atom_site_type_symbol
_atom_site_fract_x
_atom_site_fract_y
_atom_site_fract_z
_atom_site_occupancy
F1 F 0.9766 0.2892 0.6154 1
F2 F 0.7108 0.0234 0.8846 1
F3 F 0.6874 0.7108 0.1154 1
F4 F 0.0234 0.7108 0.3846 1
Zn1 Zn 0.6667 0.3333 0.7500 1
Ge1 Ge 0.0000 0.0000 0.5000 1
F5 F 0.7108 0.6874 0.6154 1
F6 F 0.2892 0.9766 0.1154 1
F7 F 0.6874 0.9766 0.3846 1
F8 F 0.3126 0.2892 0.8846 1
F9 F 0.3126 0.0234 0.6154 1
Zn2 Zn 0.3333 0.6667 0.2500 1
Ge2 Ge 0.0000 0.0000 0.0000 1
F10 F 0.9766 0.6874 0.8846 1
F11 F 0.0234 0.3126 0.1154 1
F12 F 0.2892 0.3126 0.3846 1
```

# AgPt12Rh5

A relaxed structure of AgPt12Rh5 (GGA-PBE, Alexandria via LeMat-Bulk).

Output
- energy of formation from the pure elements (eV/f.u.) = -0.1
- total DFT energy (no corrections) (eV/atom) = -6.24

```
data_AgPt12Rh5
_space_group_name_H-M_alt 'P 1'
_space_group_IT_number 1
_space_group_name_Hall 'P 1'
_cell_length_a 8.3602
_cell_length_b 8.3572
_cell_length_c 4.8335
_cell_angle_alpha 73.14
_cell_angle_beta 90.00
_cell_angle_gamma 59.99
loop_
_atom_site_label
_atom_site_type_symbol
_atom_site_fract_x
_atom_site_fract_y
_atom_site_fract_z
_atom_site_occupancy
Pt1 Pt 0.5005 0.6672 0.4992 1
Pt2 Pt 0.9984 0.3348 0.9987 1
Rh1 Rh 0.6658 0.6684 0.9969 1
Pt3 Pt 0.8323 0.6671 0.4992 1
Pt4 Pt 0.6669 0.3348 0.9987 1
Pt5 Pt 0.1683 0.0000 0.4999 1
Ag1 Ag 0.0000 0.0000 0.0000 1
Rh2 Rh 0.1690 0.6620 0.5091 1
Pt6 Pt 0.3365 0.0000 0.9999 1
Pt7 Pt 0.3331 0.6652 0.0013 1
Pt8 Pt 0.4995 0.3328 0.5008 1
Rh3 Rh 0.8310 0.3380 0.4909 1
Rh4 Rh 0.3342 0.3316 0.0031 1
Pt9 Pt 0.6635 0.0000 0.0001 1
Pt10 Pt 0.8317 0.0000 0.5001 1
Pt11 Pt 0.1677 0.3329 0.5008 1
Rh5 Rh 0.5000 0.0000 0.5000 1
Pt12 Pt 0.0016 0.6652 0.0013 1
```

# YIn2Te

A relaxed structure of YIn2Te (GGA-PBE, Alexandria via LeMat-Bulk).

Output
- formation energy from raw total energies (eV/atom) = -0.3276
- total DFT energy (no corrections) (eV/atom) = -4.10

```
data_YIn2Te
_space_group_name_H-M_alt 'P 1'
_space_group_IT_number 1
_space_group_name_Hall 'P 1'
_cell_length_a 5.3870
_cell_length_b 5.3870
_cell_length_c 5.3870
_cell_angle_alpha 60.00
_cell_angle_beta 60.00
_cell_angle_gamma 60.00
loop_
_atom_site_label
_atom_site_type_symbol
_atom_site_fract_x
_atom_site_fract_y
_atom_site_fract_z
_atom_site_occupancy
In1 In 0.0000 0.0000 0.0000 1
In2 In 0.2500 0.2500 0.2500 1
Te1 Te 0.5000 0.5000 0.5000 1
Y1 Y 0.7500 0.7500 0.7500 1
```

Q: Which value of total DFT energy (no corrections) does entry 6 give?
A: -4.52 eV/atom

Q: Which formula does entry 5 have?
A: Nd3AgBi2

Q: What is the formula in the third record?
A: Zr2MoHRu